(1)
4
Lattice="3.3573 -2.9905 -0.0415 -0.7797 -4.2376 -1.2847 1.6279 -1.4981 -3.9143" Properties=species:S:1:pos:R:3 comment="NbMo2Ir | Alexandria via LeMat-Bulk | GGA-PBE | optimized geometry" n_ef_per_ev_cell=6.667 spacegroup="Fm-3m, No. 225" de_polymorph_ev_per_atom=0.000 pbc="T T T"
Mo 3.1541 -6.5447 -3.9304
Mo 1.0514 -2.1816 -1.3101
Ir 2.1027 -4.3631 -2.6203
Nb 0.0000 0.0000 0.0000

=====

(2)
16
Lattice="7.8885 0.0000 0.0000 0.0000 7.9941 0.0683 -3.9443 -3.9403 5.5813" Properties=species:S:1:pos:R:3 comment="Er8PSe4S3 | Alexandria via LeMat-Bulk | GGA-PBE | optimized geometry" n_ef_per_ev_cell=5.399 spacegroup="R-3m, No. 166" energy_ev_per_atom=-6.09 pbc="T T T"
Er 3.9443 0.1612 2.9270
Se -1.9721 -1.9702 2.7906
Er 0.0000 0.1754 2.9117
Er 1.9903 1.9042 5.5387
Se 3.9443 0.0000 0.0000
P 0.0000 3.9970 0.0341
Er 0.0000 3.8926 2.7226
Se 0.0000 0.0000 0.0000
Er -1.9903 1.9042 5.5387
Se 1.9721 -1.9702 2.7906
S 1.9721 2.0269 2.8248
Er 1.9540 2.1496 0.1109
S 3.9443 3.9970 0.0341
Er 5.9345 2.1496 0.1109
S -1.9721 2.0269 2.8248
Er 3.9443 3.8784 2.7379

=====

> Which formula does entry 1 have?

NbMo2Ir

=====

> Which formula does entry 2 have?

Er8PSe4S3